! PBEsol K2CuH12Se2O14, optimized geometry; values from VASP
&SYSTEM
  ibrav = 0, nat = 62, ntyp = 5
/
ATOMIC_SPECIES
K 39.10 K.upf
Cu 63.55 Cu.upf
H 1.01 H.upf
Se 78.96 Se.upf
O 16.00 O.upf
ATOMIC_POSITIONS crystal
K 0.6557 0.3491 0.1639
K 0.6557 0.8491 0.3361
K 0.3443 0.1509 0.6639
K 0.3443 0.6509 0.8361
Cu 0.0000 0.0000 0.0000
Cu 0.0000 0.5000 0.5000
H 0.3159 0.0210 0.1363
H 0.9168 0.7415 0.9030
H 0.6937 0.6201 0.5543
H 0.0055 0.8726 0.8128
H 0.9945 0.1274 0.1872
H 0.8825 0.2296 0.3677
H 0.6665 0.2754 0.4095
H 0.1175 0.7704 0.6323
H 0.3159 0.5210 0.3637
H 0.9945 0.6274 0.3128
H 0.0832 0.2585 0.0970
H 0.0055 0.3726 0.6872
H 0.9168 0.2415 0.5970
H 0.6665 0.7754 0.0905
H 0.0832 0.7585 0.4030
H 0.6937 0.1201 0.9457
H 0.3063 0.3799 0.4457
H 0.3335 0.2246 0.9095
H 0.6841 0.4790 0.6363
H 0.6841 0.9790 0.8637
H 0.8825 0.7296 0.1323
H 0.3063 0.8799 0.0543
H 0.1175 0.2704 0.8677
H 0.3335 0.7246 0.5905
Se 0.2636 0.5734 0.1389
Se 0.7364 0.9266 0.6389
Se 0.7364 0.4266 0.8611
Se 0.2636 0.0734 0.3611
O 0.7229 0.5147 0.5588
O 0.8084 0.3159 0.3743
O 0.4232 0.0788 0.2515
O 0.5768 0.9212 0.7485
O 0.2542 0.9118 0.4279
O 0.9705 0.6616 0.3898
O 0.0295 0.8384 0.8898
O 0.0164 0.5887 0.1798
O 0.7458 0.0882 0.5721
O 0.3733 0.7164 0.0561
O 0.6267 0.7836 0.5561
O 0.8084 0.8159 0.1257
O 0.1916 0.1841 0.8743
O 0.7458 0.5882 0.9279
O 0.9705 0.1616 0.1102
O 0.5768 0.4212 0.7515
O 0.1916 0.6841 0.6257
O 0.0164 0.0887 0.3202
O 0.9836 0.4113 0.8202
O 0.3733 0.2164 0.4439
O 0.4232 0.5788 0.2485
O 0.2542 0.4118 0.0721
O 0.2771 0.4853 0.4412
O 0.7229 0.0147 0.9412
O 0.9836 0.9113 0.6798
O 0.6267 0.2836 0.9439
O 0.2771 0.9853 0.0588
O 0.0295 0.3384 0.6102
CELL_PARAMETERS angstrom
6.3286 0.0185 0.0000
-1.9470 8.8090 0.0000
0.0000 0.0000 12.1839
! E_tot in eV/f.u.: -160.19
! Space group: P2_1/c, No. 14